No. 1
BeTcHg2 after structural relaxation, computed with GGA-PBE.

Output
As for the final energy: -23.7 eV/cell. The calculation puts the formation energy at 715.2 meV per atom. The value obtained for the size of the total moment is 0.797 μB/f.u.

Unit cell a=2.924 b=5.236 c=9.030 alpha=90.00 beta=90.00 gamma=90.00
Space group Cmmm (No. 65)
Unique sites:
Be (0.000, 0.000, 0.000) (multiplicity 2)
Tc (0.000, 0.000, 0.500) (multiplicity 2)
Hg (0.000, 0.500, 0.229) (multiplicity 4)

=====

No. 2
Np2SnBi4 after structural relaxation, computed with GGA-PBE.

Output
As for the final energy: -90.7 eV/cell. The calculation puts the formation energy at 9.5 meV per atom. The value obtained for the size of the total moment is 8.049 μB/f.u.

Unit cell a=8.798 b=10.212 c=4.732 alpha=90.00 beta=90.00 gamma=90.00
Space group Cmmm (No. 65)
Unique sites:
Np (0.000, 0.214, 0.000) (multiplicity 4)
Sn (0.000, 0.000, 0.500) (multiplicity 2)
Bi (0.206, 0.500, 0.000) (multiplicity 4)
Bi (0.250, 0.250, 0.500) (multiplicity 4)

=====

No. 3
HgOs2Pt after structural relaxation, computed with GGA-PBE.

Output
As for the final energy: -27.8 eV/cell. The calculation puts the formation energy at 261.7 meV per atom. The value obtained for the size of the total moment is 0.000 μB/f.u.

Unit cell a=2.829 b=2.829 c=8.182 alpha=90.00 beta=90.00 gamma=90.00
Space group P4mm (No. 99)
Unique sites:
Hg (0.000, 0.000, 0.000) (multiplicity 1)
Os (0.000, 0.000, 0.479) (multiplicity 1)
Os (0.500, 0.500, 0.277) (multiplicity 1)
Pt (0.500, 0.500, 0.722) (multiplicity 1)

=====

No. 4
Pm2CuAs4Pt3 after structural relaxation, computed with GGA-PBE.

Output
As for the final energy: -58.4 eV/cell. The calculation puts the formation energy at -804.3 meV per atom. The value obtained for the size of the total moment is 0.000 μB/f.u.

Unit cell a=4.431 b=4.431 c=9.910 alpha=90.00 beta=90.00 gamma=90.00
Space group P-4m2 (No. 115)
Unique sites:
Pm (0.000, 0.500, 0.249) (multiplicity 2)
Cu (0.500, 0.500, 0.000) (multiplicity 1)
As (0.000, 0.000, 0.500) (multiplicity 1)
As (0.000, 0.500, 0.873) (multiplicity 2)
As (0.500, 0.500, 0.500) (multiplicity 1)
Pt (0.000, 0.000, 0.000) (multiplicity 1)
Pt (0.000, 0.500, 0.623) (multiplicity 2)